DFT (PBE with a Hubbard U) results for a geometry-optimized VIn3F structure.

POSCAR file:
```
VIn3F
1.0
-2.992 3.388 1.839
0.809 -1.725 4.493
3.769 3.060 0.496
In V F
3 1 1
direct
0.000 0.000 0.500
0.000 0.500 0.000
0.500 0.000 0.000
0.500 0.500 0.500
0.000 0.000 0.000
```

Output
- total magnetic moment (μB per formula unit) = 3.510
- symmetry = Pm-3m (221)
- volume (Å³ per cell) = 116.22
- energy relative to the lowest polymorph listed for this composition (kcal/mol of atoms) = 0.00
- electronic total energy (eV/atom) = -3.54